[1]
Below is an optimized crystal structure of HoNi3Ge3, with properties calculated at the GGA-PBE level.

**Size of the total moment**: 0.00 μB per formula unit
**Volume**: 18.67 Å³/atom
**Space group**: No. 223
**E above lowest polymorph**: 1.91 eV per formula unit

Cell lengths 6.393, 6.393, 6.393 Å; angles 90.00, 90.00, 90.00 degrees
Fractional coordinates of all 14 atoms:
Ho (0.000, 0.000, 0.000)
Ho (0.500, 0.500, 0.500)
Ni (0.000, 0.250, 0.500)
Ni (0.000, 0.750, 0.500)
Ni (0.250, 0.500, 0.000)
Ni (0.500, 0.000, 0.250)
Ni (0.500, 0.000, 0.750)
Ni (0.750, 0.500, 0.000)
Ge (0.000, 0.500, 0.250)
Ge (0.000, 0.500, 0.750)
Ge (0.250, 0.000, 0.500)
Ge (0.500, 0.250, 0.000)
Ge (0.500, 0.750, 0.000)
Ge (0.750, 0.000, 0.500)

=====

[2]
Below is an optimized crystal structure of BaPmSbAu, with properties calculated at the GGA-PBE level.

**Size of the total moment**: 0.77 μB per formula unit
**Volume**: 31.00 Å³/atom
**Space group**: No. 216
**Formation energy (no corrections)**: -0.719 eV per atom

Cell lengths 5.597, 5.597, 5.597 Å; angles 60.00, 60.00, 60.00 degrees
Fractional coordinates of all 4 atoms:
Ba (0.000, 0.000, 0.000)
Pm (0.500, 0.500, 0.500)
Sb (0.250, 0.250, 0.250)
Au (0.750, 0.750, 0.750)

=====

[3]
Below is an optimized crystal structure of MnCdFe2, with properties calculated at the GGA-PBE level.

**Size of the total moment**: 8.34 μB per formula unit
**Volume**: 14.48 Å³/atom
**Space group**: No. 8
**E_tot**: -25.6 eV per cell

Cell lengths 4.594, 4.594, 4.940 Å; angles 96.80, 96.80, 34.03 degrees
Fractional coordinates of all 4 atoms:
Mn (0.000, 0.000, 0.000)
Cd (0.753, 0.753, 0.274)
Fe (0.254, 0.254, 0.767)
Fe (0.504, 0.504, 0.552)

=====

[4]
Below is an optimized crystal structure of NaTlIn2, with properties calculated at the GGA-PBE level.

**Size of the total moment**: 0.00 μB per formula unit
**Volume**: 28.29 Å³/atom
**Space group**: No. 160
**E above lowest polymorph**: 0.24 eV per formula unit

Cell lengths 11.185, 11.185, 11.185 Å; angles 17.72, 17.72, 17.72 degrees
Fractional coordinates of all 4 atoms:
Na (0.000, 0.000, 0.000)
Tl (0.166, 0.166, 0.166)
In (0.415, 0.415, 0.415)
In (0.584, 0.584, 0.584)

=====

[5]
Below is an optimized crystal structure of LiSnO3, with properties calculated at the GGA-PBE level.

**Size of the total moment**: 1.00 μB per formula unit
**Volume**: 13.05 Å³/atom
**Space group**: No. 221
**Formation energy (no corrections)**: -1.150 eV per atom

Cell lengths 4.026, 4.026, 4.026 Å; angles 90.00, 90.00, 90.00 degrees
Fractional coordinates of all 5 atoms:
Li (0.000, 0.000, 0.000)
Sn (0.500, 0.500, 0.500)
O (0.000, 0.500, 0.500)
O (0.500, 0.000, 0.500)
O (0.500, 0.500, 0.000)

=====

[6]
Below is an optimized crystal structure of ScTiRh2, with properties calculated at the GGA-PBE level.

**Size of the total moment**: 0.00 μB per formula unit
**Volume**: 17.25 Å³/atom
**Space group**: No. 122
**E_tot**: -61.6 eV per cell

Cell lengths 5.673, 5.673, 5.673 Å; angles 105.24, 105.24, 118.32 degrees
Fractional coordinates of all 8 atoms:
Sc (0.000, 0.000, 0.000)
Sc (0.750, 0.250, 0.500)
Ti (0.250, 0.750, 0.500)
Ti (0.500, 0.500, 0.000)
Rh (0.149, 0.625, 0.024)
Rh (0.375, 0.399, 0.524)
Rh (0.601, 0.125, 0.976)
Rh (0.875, 0.851, 0.476)

=====

[7]
Below is an optimized crystal structure of LaYBe3, with properties calculated at the GGA-PBE level.

**Size of the total moment**: 0.00 μB per formula unit
**Volume**: 23.78 Å³/atom
**Space group**: No. 221
**E_tot**: -17.2 eV per cell

Cell lengths 4.917, 4.917, 4.917 Å; angles 90.00, 90.00, 90.00 degrees
Fractional coordinates of all 5 atoms:
La (0.000, 0.000, 0.000)
Y (0.500, 0.500, 0.500)
Be (0.000, 0.500, 0.500)
Be (0.500, 0.000, 0.500)
Be (0.500, 0.500, 0.000)

=====

[8]
Below is an optimized crystal structure of Pu2O8F, with properties calculated at the GGA-PBE level.

**Size of the total moment**: 0.00 μB per formula unit
**Volume**: 19.73 Å³/atom
**Space group**: No. 12
**Formation energy (no corrections)**: -1.743 eV per atom

Cell lengths 7.205, 7.205, 5.912 Å; angles 112.87, 112.87, 51.63 degrees
Fractional coordinates of all 11 atoms:
Pu (0.177, 0.177, 0.003)
Pu (0.823, 0.823, 0.997)
O (0.123, 0.123, 0.668)
O (0.140, 0.547, 0.997)
O (0.258, 0.258, 0.337)
O (0.453, 0.860, 0.003)
O (0.547, 0.140, 0.997)
O (0.742, 0.742, 0.663)
O (0.860, 0.453, 0.003)
O (0.877, 0.877, 0.332)
F (0.000, 0.000, 0.000)

=====

[9]
Below is an optimized crystal structure of ZnGe2H2, with properties calculated at the GGA-PBE level.

**Size of the total moment**: 0.00 μB per formula unit
**Volume**: 12.57 Å³/atom
**Space group**: No. 127
**E above lowest polymorph**: 1.36 eV per formula unit

Cell lengths 6.657, 6.657, 2.836 Å; angles 90.00, 90.00, 90.00 degrees
Fractional coordinates of all 10 atoms:
Zn (0.000, 0.000, 0.000)
Zn (0.500, 0.500, 0.000)
Ge (0.140, 0.360, 0.500)
Ge (0.360, 0.860, 0.500)
Ge (0.640, 0.140, 0.500)
Ge (0.860, 0.640, 0.500)
H (0.109, 0.609, 0.000)
H (0.391, 0.109, 0.000)
H (0.609, 0.891, 0.000)
H (0.891, 0.391, 0.000)

=====

[10]
Below is an optimized crystal structure of CdP2Os, with properties calculated at the GGA-PBE level.

**Size of the total moment**: 0.00 μB per formula unit
**Volume**: 16.40 Å³/atom
**Space group**: No. 99
**E above lowest polymorph**: 1.24 eV per formula unit

Cell lengths 2.979, 2.979, 7.391 Å; angles 90.00, 90.00, 90.00 degrees
Fractional coordinates of all 4 atoms:
Cd (0.000, 0.000, 0.000)
P (0.000, 0.000, 0.449)
P (0.500, 0.500, 0.669)
Os (0.500, 0.500, 0.293)

=====

[11]
Below is an optimized crystal structure of SrCeAl2O6, with properties calculated at the GGA-PBE level.

**Size of the total moment**: 0.00 μB per formula unit
**Volume**: 14.29 Å³/atom
**Space group**: No. 15
**Formation energy (no corrections)**: -3.121 eV per atom

Cell lengths 7.121, 7.121, 5.856 Å; angles 101.12, 101.12, 86.63 degrees
Fractional coordinates of all 20 atoms:
Sr (0.173, 0.827, 0.750)
Sr (0.827, 0.173, 0.250)
Ce (0.394, 0.606, 0.250)
Ce (0.606, 0.394, 0.750)
Al (0.123, 0.293, 0.771)
Al (0.293, 0.123, 0.271)
Al (0.707, 0.877, 0.729)
Al (0.877, 0.707, 0.229)
O (0.112, 0.623, 0.329)
O (0.131, 0.175, 0.015)
O (0.175, 0.131, 0.515)
O (0.297, 0.478, 0.860)
O (0.377, 0.888, 0.171)
O (0.478, 0.297, 0.360)
O (0.522, 0.703, 0.640)
O (0.623, 0.112, 0.829)
O (0.703, 0.522, 0.140)
O (0.825, 0.869, 0.485)
O (0.869, 0.825, 0.985)
O (0.888, 0.377, 0.671)

=====

[12]
Below is an optimized crystal structure of NaTcO, with properties calculated at the GGA-PBE level.

**Size of the total moment**: 0.00 μB per formula unit
**Volume**: 13.33 Å³/atom
**Space group**: No. 1
**E above lowest polymorph**: 0.80 eV per formula unit
**Formation energy (no corrections)**: -0.687 eV per atom

Cell lengths 2.842, 4.552, 6.445 Å; angles 91.28, 102.23, 100.42 degrees
Fractional coordinates of all 6 atoms:
Na (0.000, 0.000, 0.000)
Na (0.472, 0.489, 0.767)
Tc (0.530, 0.050, 0.447)
Tc (0.783, 0.530, 0.308)
O (0.008, 0.801, 0.602)
O (0.155, 0.510, 0.066)

=====

[13]
Below is an optimized crystal structure of YAlZnPt3, with properties calculated at the GGA-PBE level.

**Size of the total moment**: 0.00 μB per formula unit
**Volume**: 18.94 Å³/atom
**Space group**: No. 63
**E_tot**: -67.8 eV per cell

Cell lengths 6.823, 6.823, 5.655 Å; angles 90.00, 90.00, 120.31 degrees
Fractional coordinates of all 12 atoms:
Y (0.199, 0.801, 0.750)
Y (0.801, 0.199, 0.250)
Al (0.128, 0.872, 0.250)
Al (0.872, 0.128, 0.750)
Zn (0.445, 0.555, 0.750)
Zn (0.555, 0.445, 0.250)
Pt (0.208, 0.208, 0.000)
Pt (0.208, 0.208, 0.500)
Pt (0.329, 0.671, 0.250)
Pt (0.671, 0.329, 0.750)
Pt (0.792, 0.792, 0.000)
Pt (0.792, 0.792, 0.500)

=====

[14]
Below is an optimized crystal structure of BeCO, with properties calculated at the GGA-PBE level.

**Size of the total moment**: 0.00 μB per formula unit
**Volume**: 8.20 Å³/atom
**Space group**: No. 44
**E above lowest polymorph**: 3.85 eV per formula unit
**Formation energy (no corrections)**: -0.402 eV per atom

Cell lengths 3.994, 3.994, 3.994 Å; angles 143.36, 139.29, 55.91 degrees
Fractional coordinates of all 3 atoms:
Be (0.000, 0.000, 0.000)
C (0.335, 0.835, 0.500)
O (0.148, 0.648, 0.500)

=====

[15]
Below is an optimized crystal structure of CsK7Na3, with properties calculated at the GGA-PBE level.

**Size of the total moment**: 0.00 μB per formula unit
**Volume**: 68.55 Å³/atom
**Space group**: No. 156
**E_tot**: -12.0 eV per cell

Cell lengths 10.490, 10.490, 7.913 Å; angles 90.00, 90.00, 120.00 degrees
Fractional coordinates of all 11 atoms:
Cs (0.000, 0.000, 0.000)
K (0.061, 0.530, 0.995)
K (0.181, 0.362, 0.484)
K (0.181, 0.819, 0.484)
K (0.470, 0.530, 0.995)
K (0.470, 0.939, 0.995)
K (0.638, 0.819, 0.484)
K (0.667, 0.333, 0.262)
Na (0.436, 0.218, 0.690)
Na (0.782, 0.218, 0.690)
Na (0.782, 0.564, 0.690)

=====

[16]
Below is an optimized crystal structure of KNaCd, with properties calculated at the GGA-PBE level.

**Size of the total moment**: 0.00 μB per formula unit
**Volume**: 39.93 Å³/atom
**Space group**: No. 62
**E above lowest polymorph**: 0.00 eV per formula unit

Cell lengths 13.183, 5.330, 6.818 Å; angles 90.00, 90.00, 90.00 degrees
Fractional coordinates of all 12 atoms:
K (0.226, 0.250, 0.111)
K (0.274, 0.750, 0.611)
K (0.726, 0.250, 0.389)
K (0.774, 0.750, 0.889)
Na (0.028, 0.250, 0.636)
Na (0.472, 0.750, 0.136)
Na (0.528, 0.250, 0.864)
Na (0.972, 0.750, 0.364)
Cd (0.040, 0.750, 0.917)
Cd (0.460, 0.250, 0.417)
Cd (0.540, 0.750, 0.583)
Cd (0.960, 0.250, 0.083)

=====

[17]
Below is an optimized crystal structure of DyTm2ScTe4, with properties calculated at the GGA-PBE level.

**Size of the total moment**: 0.00 μB per formula unit
**Volume**: 27.84 Å³/atom
**Space group**: No. 10
**Formation energy (no corrections)**: -1.174 eV per atom

Cell lengths 7.435, 4.242, 7.465 Å; angles 90.00, 108.92, 90.00 degrees
Fractional coordinates of all 8 atoms:
Dy (0.000, 0.000, 0.000)
Tm (0.500, 0.000, 0.500)
Tm (0.500, 0.500, 0.000)
Sc (0.000, 0.500, 0.500)
Te (0.245, 0.000, 0.742)
Te (0.250, 0.500, 0.256)
Te (0.750, 0.500, 0.744)
Te (0.755, 0.000, 0.258)

=====

[18]
Below is an optimized crystal structure of CdHRh3, with properties calculated at the GGA-PBE level.

**Size of the total moment**: 0.00 μB per formula unit
**Volume**: 12.91 Å³/atom
**Space group**: No. 15
**E above lowest polymorph**: 0.23 eV per formula unit

Cell lengths 7.324, 7.324, 4.909 Å; angles 90.35, 90.35, 101.36 degrees
Fractional coordinates of all 20 atoms:
Cd (0.063, 0.198, 0.080)
Cd (0.198, 0.063, 0.580)
Cd (0.802, 0.937, 0.420)
Cd (0.937, 0.802, 0.920)
H (0.305, 0.695, 0.250)
H (0.445, 0.555, 0.750)
H (0.555, 0.445, 0.250)
H (0.695, 0.305, 0.750)
Rh (0.065, 0.674, 0.418)
Rh (0.186, 0.561, 0.906)
Rh (0.311, 0.444, 0.427)
Rh (0.326, 0.935, 0.082)
Rh (0.439, 0.814, 0.594)
Rh (0.444, 0.311, 0.927)
Rh (0.556, 0.689, 0.073)
Rh (0.561, 0.186, 0.406)
Rh (0.674, 0.065, 0.918)
Rh (0.689, 0.556, 0.573)
Rh (0.814, 0.439, 0.094)
Rh (0.935, 0.326, 0.582)

=====

[19]
Below is an optimized crystal structure of Pm2Sm4Pb3N2, with properties calculated at the GGA-PBE level.

**Size of the total moment**: 0.00 μB per formula unit
**Volume**: 27.70 Å³/atom
**Space group**: No. 139
**Formation energy (no corrections)**: -0.873 eV per atom

Cell lengths 13.440, 13.440, 13.440 Å; angles 159.25, 159.25, 29.52 degrees
Fractional coordinates of all 11 atoms:
Pm (0.192, 0.192, 0.000)
Pm (0.808, 0.808, 0.000)
Sm (0.084, 0.584, 0.500)
Sm (0.416, 0.916, 0.500)
Sm (0.584, 0.084, 0.500)
Sm (0.916, 0.416, 0.500)
Pb (0.322, 0.322, 0.000)
Pb (0.500, 0.500, 0.000)
Pb (0.678, 0.678, 0.000)
N (0.103, 0.103, 0.000)
N (0.897, 0.897, 0.000)

=====

[20]
Below is an optimized crystal structure of NbAl2Pd8, with properties calculated at the GGA-PBE level.

**Size of the total moment**: 0.00 μB per formula unit
**Volume**: 15.26 Å³/atom
**Space group**: No. 12
**E_tot**: -65.4 eV per cell

Cell lengths 7.222, 7.222, 6.384 Å; angles 110.11, 110.11, 32.69 degrees
Fractional coordinates of all 11 atoms:
Nb (0.000, 0.000, 0.000)
Al (0.286, 0.286, 0.343)
Al (0.714, 0.714, 0.657)
Pd (0.110, 0.110, 0.462)
Pd (0.178, 0.178, 0.929)
Pd (0.349, 0.349, 0.792)
Pd (0.462, 0.462, 0.269)
Pd (0.538, 0.538, 0.731)
Pd (0.651, 0.651, 0.208)
Pd (0.822, 0.822, 0.071)
Pd (0.890, 0.890, 0.538)